Material: Ba2Sr2Sb2O
Method: DFT, GGA-PBE
State: relaxed

```
data_Ba2Sr2Sb2O
_space_group_name_H-M_alt 'I 4/m m m'
_space_group_IT_number 139
_space_group_name_Hall '-I 4 2'
_cell_length_a 5.1042
_cell_length_b 5.1042
_cell_length_c 18.1533
_cell_angle_alpha 90.00
_cell_angle_beta 90.00
_cell_angle_gamma 90.00
loop_
_atom_site_label
_atom_site_type_symbol
_atom_site_fract_x
_atom_site_fract_y
_atom_site_fract_z
Ba1 Ba 0.0000 0.0000 0.1680
Sr1 Sr 0.0000 0.5000 0.0000
Sb1 Sb 0.0000 0.0000 0.3675
O1 O 0.0000 0.0000 0.0000
```

Computed properties:
M_tot   0.0 Bohr magnetons per cell
ΔE_f (raw)   -1080 kJ/mol of formula units
Total DFT energy (no corrections)   -4.516 eV per atom

Material: BaSrSbO2
Method: DFT, GGA-PBE
State: relaxed

```
data_BaSrSbO2
_space_group_name_H-M_alt 'P 4/m m m'
_space_group_IT_number 123
_space_group_name_Hall '-P 4 2'
_cell_length_a 4.8773
_cell_length_b 4.8773
_cell_length_c 6.0691
_cell_angle_alpha 90.00
_cell_angle_beta 90.00
_cell_angle_gamma 90.00
loop_
_atom_site_label
_atom_site_type_symbol
_atom_site_fract_x
_atom_site_fract_y
_atom_site_fract_z
Ba1 Ba 0.0000 0.0000 0.0000
Sr1 Sr 0.5000 0.5000 0.5000
Sb1 Sb 0.5000 0.5000 0.0000
O1 O 0.0000 0.5000 0.5000
```

Computed properties:
M_tot   0.0 Bohr magnetons per cell
ΔE_f (raw)   -385 kJ/mol of formula units
Total DFT energy (no corrections)   -4.327 eV per atom

Material: Ba2Sr4Sb3O2
Method: DFT, GGA-PBE
State: relaxed

```
data_Ba2Sr4Sb3O2
_space_group_name_H-M_alt 'I 4/m m m'
_space_group_IT_number 139
_space_group_name_Hall '-I 4 2'
_cell_length_a 5.1000
_cell_length_b 5.1000
_cell_length_c 27.4744
_cell_angle_alpha 90.00
_cell_angle_beta 90.00
_cell_angle_gamma 90.00
loop_
_atom_site_label
_atom_site_type_symbol
_atom_site_fract_x
_atom_site_fract_y
_atom_site_fract_z
Ba1 Ba 0.0000 0.0000 0.1926
Sr1 Sr 0.0000 0.5000 0.0818
Sb1 Sb 0.0000 0.0000 0.3292
Sb2 Sb 0.0000 0.0000 0.5000
O1 O 0.0000 0.0000 0.0980
```

Computed properties:
M_tot   0.0 Bohr magnetons per cell
ΔE_f (raw)   -1720 kJ/mol of formula units
Total DFT energy (no corrections)   -4.607 eV per atom

Material: Ba4SrSb3O12
Method: DFT, GGA-PBE
State: relaxed

```
data_Ba4SrSb3O12
_space_group_name_H-M_alt 'I m -3 m'
_space_group_IT_number 229
_space_group_name_Hall '-I 4 2 3'
_cell_length_a 8.5947
_cell_length_b 8.5947
_cell_length_c 8.5947
_cell_angle_alpha 90.00
_cell_angle_beta 90.00
_cell_angle_gamma 90.00
loop_
_atom_site_label
_atom_site_type_symbol
_atom_site_fract_x
_atom_site_fract_y
_atom_site_fract_z
Ba1 Ba 0.2500 0.2500 0.2500
Sr1 Sr 0.0000 0.0000 0.0000
Sb1 Sb 0.0000 0.0000 0.5000
O1 O 0.0000 0.0000 0.2725
O2 O 0.0000 0.2500 0.5000
```

Computed properties:
M_tot   0.0 Bohr magnetons per cell
ΔE_f (raw)   -4208 kJ/mol of formula units
Total DFT energy (no corrections)   -6.242 eV per atom